A plane-wave DFT calculation with GGA-PBE was carried out for a geometry-optimized CrRh structure.

Energy relative to the elements, eV per atom: 1.27

CIF file:
```
data_CrRh
_chemical_formula_sum 'Cr6 Rh6'
_cell_length_a 6.7174
_cell_length_b 6.7174
_cell_length_c 6.7174
_cell_angle_alpha 90.00
_cell_angle_beta 90.00
_cell_angle_gamma 90.00
_symmetry_space_group_name_H-M 'P m -3 n'
_symmetry_Int_Tables_number 223
_symmetry_space_group_name_Hall '-P 4n 2 3'
loop_
_atom_site_label
_atom_site_type_symbol
_atom_site_fract_x
_atom_site_fract_y
_atom_site_fract_z
Cr1 Cr 0.0000 0.2500 0.5000
Rh1 Rh 0.0000 0.5000 0.2500
```


A plane-wave DFT calculation with GGA-PBE was carried out for a geometry-optimized Li2ZrPaSe4 structure.

Formation energy (no corrections), eV/f.u.: -10.461

CIF file:
```
data_Li2ZrPaSe4
_chemical_formula_sum 'Li2 Zr1 Pa1 Se4'
_cell_length_a 6.6534
_cell_length_b 3.8658
_cell_length_c 7.0898
_cell_angle_alpha 90.00
_cell_angle_beta 108.23
_cell_angle_gamma 90.00
_symmetry_space_group_name_H-M 'P 1 2/m 1'
_symmetry_Int_Tables_number 10
_symmetry_space_group_name_Hall '-P 2y'
loop_
_atom_site_label
_atom_site_type_symbol
_atom_site_fract_x
_atom_site_fract_y
_atom_site_fract_z
Li1 Li 0.0000 0.0000 0.0000
Li2 Li 0.5000 0.5000 0.0000
Zr1 Zr 0.0000 0.5000 0.5000
Pa1 Pa 0.5000 0.0000 0.5000
Se1 Se 0.2361 0.5000 0.2367
Se2 Se 0.2418 0.0000 0.7538
```


A plane-wave DFT calculation with GGA-PBE was carried out for a geometry-optimized PaTe2Os structure.

Formation energy (no corrections), eV/f.u.: 1.937

CIF file:
```
data_PaTe2Os
_chemical_formula_sum 'Pa3 Te6 Os3'
_cell_length_a 3.2772
_cell_length_b 3.2772
_cell_length_c 30.2596
_cell_angle_alpha 90.00
_cell_angle_beta 90.00
_cell_angle_gamma 120.00
_symmetry_space_group_name_H-M 'R -3 m'
_symmetry_Int_Tables_number 166
_symmetry_space_group_name_Hall '-R 3 2"'
loop_
_atom_site_label
_atom_site_type_symbol
_atom_site_fract_x
_atom_site_fract_y
_atom_site_fract_z
Pa1 Pa 0.0000 0.0000 0.0000
Te1 Te 0.0000 0.0000 0.4163
Os1 Os 0.0000 0.0000 0.5000
```


A plane-wave DFT calculation with GGA-PBE was carried out for a geometry-optimized K2LiMg2 structure.

Energy relative to the elements, eV per atom: 0.21

CIF file:
```
data_K2LiMg2
_chemical_formula_sum 'K4 Li2 Mg4'
_cell_length_a 7.9870
_cell_length_b 7.9870
_cell_length_c 6.1649
_cell_angle_alpha 90.00
_cell_angle_beta 90.00
_cell_angle_gamma 90.00
_symmetry_space_group_name_H-M 'P 4/m b m'
_symmetry_Int_Tables_number 127
_symmetry_space_group_name_Hall '-P 4 2ab'
loop_
_atom_site_label
_atom_site_type_symbol
_atom_site_fract_x
_atom_site_fract_y
_atom_site_fract_z
K1 K 0.1767 0.3233 0.0000
Li1 Li 0.0000 0.0000 0.5000
Mg1 Mg 0.1373 0.6373 0.5000
```


A plane-wave DFT calculation with GGA-PBE was carried out for a geometry-optimized Tb4TlAuO structure.

Formation energy (no corrections), eV/f.u.: -8.148

CIF file:
```
data_Tb4TlAuO
_chemical_formula_sum 'Tb16 Tl4 Au4 O4'
_cell_length_a 6.6718
_cell_length_b 15.3996
_cell_length_c 6.6875
_cell_angle_alpha 90.00
_cell_angle_beta 90.00
_cell_angle_gamma 90.00
_symmetry_space_group_name_H-M 'C m c m'
_symmetry_Int_Tables_number 63
_symmetry_space_group_name_Hall '-C 2c 2'
loop_
_atom_site_label
_atom_site_type_symbol
_atom_site_fract_x
_atom_site_fract_y
_atom_site_fract_z
Tb1 Tb 0.0000 0.0617 0.2500
Tb2 Tb 0.0000 0.4194 0.2500
Tb3 Tb 0.2500 0.2500 0.0000
Tl1 Tl 0.0000 0.3853 0.7500
Au1 Au 0.0000 0.1218 0.7500
O1 O 0.0000 0.2584 0.2500
```


A plane-wave DFT calculation with GGA-PBE was carried out for a geometry-optimized Tb5HoTm5 structure.

Energy relative to the elements, eV per atom: 0.15
Energy relative to the lowest polymorph listed for this composition, kJ/mol of formula units: 0

CIF file:
```
data_Tb5HoTm5
_chemical_formula_sum 'Tb5 Ho1 Tm5'
_cell_length_a 6.7976
_cell_length_b 6.8876
_cell_length_c 8.2492
_cell_angle_alpha 75.92
_cell_angle_beta 76.68
_cell_angle_gamma 72.20
_symmetry_space_group_name_H-M 'P -1'
_symmetry_Int_Tables_number 2
_symmetry_space_group_name_Hall '-P 1'
loop_
_atom_site_label
_atom_site_type_symbol
_atom_site_fract_x
_atom_site_fract_y
_atom_site_fract_z
Tb1 Tb 0.0000 0.0000 0.0000
Tb2 Tb 0.1558 0.1338 0.3584
Tb3 Tb 0.3237 0.2709 0.6543
Ho1 Ho 0.0000 0.5000 0.0000
Tm1 Tm 0.2102 0.6392 0.3115
Tm2 Tm 0.3533 0.7503 0.7203
Tm3 Tm 0.5000 0.0000 0.0000
```


Number 1: mass density 5.09 Mg/m³, total energy -86.6 eV per cell. Number 2: mass density 6.25 Mg/m³, total energy -46.3 eV per cell. Number 3: mass density 11.97 Mg/m³, total energy -75.2 eV per cell. Number 4: mass density 1.13 Mg/m³, total energy -12.5 eV per cell. Number 5: mass density 10.18 Mg/m³, total energy -149.1 eV per cell. Number 6: mass density 8.52 Mg/m³, total energy -48.4 eV per cell.